A geometry-optimized Sr2LaPt structure. Source: Alexandria, functional GGA-PBE.

```
Sr2LaPt
1.0
4.395 2.492 2.288
-0.058 1.332 5.384
3.208 -2.770 3.577
Sr Pt La
2 1 1
Direct
0.250 0.250 0.250 Sr
0.750 0.750 0.750 Sr
0.500 0.500 0.500 Pt
0.000 0.000 0.000 La
```

**ΔE to the lowest computed polymorph**: 637 meV per atom
**ΔH_f (0 K)**: 0.03 eV per atom
**Electronic total energy**: -3.5527 eV per atom